DFT (PBE) results for Er2Te5 after structural relaxation.

Cell lengths 4.364, 4.364, 22.236 Å; angles 90.00, 95.63, 90.00 degrees
Positions (direct):
Er 0.306 0.250 0.612
Er 0.898 0.750 0.796
Te 0.750 0.250 0.500
Te 0.250 0.750 0.500
Te 0.826 0.750 0.651
Er 0.694 0.750 0.388
Er 0.102 0.250 0.204
Te 0.547 0.250 0.094
Te 0.174 0.250 0.349
Te 0.453 0.750 0.906
Te 0.624 0.750 0.247
Te 0.047 0.750 0.094
Te 0.953 0.250 0.906
Te 0.376 0.250 0.753

## Properties
The density of states at the Fermi level is 1.65 states/eV/f.u. As for the space group: Cmcm. The value obtained for the formation energy from raw total energies is -0.98 eV/atom.


DFT (PBE) results for Pm2ErTl2Ag2 after structural relaxation.

Cell lengths 4.886, 4.886, 9.578 Å; angles 75.22, 75.22, 60.00 degrees
Positions (direct):
Pm 0.124 0.124 0.628
Er 0.000 0.000 0.000
Ag 0.612 0.612 0.165
Ag 0.388 0.388 0.835
Tl 0.738 0.738 0.786
Tl 0.262 0.262 0.214
Pm 0.876 0.876 0.372

## Properties
The density of states at the Fermi level is 5.53 states/eV/f.u. As for the space group: R-3m. For the formation energy, the calculation gives -0.1779 eV/atom.


DFT (PBE) results for Ba2NiPd after structural relaxation.

Cell lengths 5.478, 5.478, 5.478 Å; angles 60.00, 60.00, 60.00 degrees
Positions (direct):
Ba 0.250 0.250 0.250
Ni 0.000 0.000 0.000
Ba 0.750 0.750 0.750
Pd 0.500 0.500 0.500

## Properties
The density of states at the Fermi level is 1.42 states/eV/f.u. As for the space group: Fm-3m. The excess energy over the best structure of this formula in the dataset is 15.4 kJ/mol of atoms. For the formation energy, the calculation gives -0.0992 eV/atom.


DFT (PBE) results for Nd4CuSe2S after structural relaxation.

Cell lengths 5.934, 5.934, 7.227 Å; angles 114.23, 114.24, 90.00 degrees
Positions (direct):
Nd 0.255 0.255 0.510
Cu 0.750 0.250 0.500
Nd 0.745 0.745 0.490
Se 0.000 0.000 0.000
Se 0.250 0.750 0.500
Nd 0.999 0.499 0.999
S 0.500 0.500 0.000
Nd 0.501 0.001 0.001

## Properties
The density of states at the Fermi level is 7.01 states/eV/f.u. As for the space group: I-4m2. The value obtained for the formation energy from raw total energies is -1.45 eV/atom.


DFT (PBE) results for ThZnSe2 after structural relaxation.

Cell lengths 3.938, 3.938, 8.666 Å; angles 76.87, 76.87, 60.00 degrees
Positions (direct):
Se 0.110 0.110 0.669
Se 0.890 0.890 0.331
Th 0.000 0.000 0.000
Zn 0.500 0.500 0.500

## Properties
The density of states at the Fermi level is 1.92 states/eV/f.u. As for the space group: R-3m. The value obtained for the formation energy from raw total energies is -0.42 eV/atom.


DFT (PBE) results for DySi3Ir2 after structural relaxation.

Cell lengths 4.072, 7.552, 7.524 Å; angles 111.28, 105.70, 90.00 degrees
Positions (direct):
Si 0.014 0.350 0.028
Si 0.671 0.432 0.342
Dy 0.853 0.909 0.707
Si 0.329 0.568 0.658
Si 0.986 0.650 0.972
Ir 0.509 0.179 0.019
Dy 0.147 0.091 0.293
Si 0.364 0.239 0.728
Si 0.636 0.761 0.272
Ir 0.491 0.821 0.981
Ir 0.176 0.633 0.352
Ir 0.824 0.367 0.648

## Properties
The density of states at the Fermi level is 2.70 states/eV/f.u. As for the space group: C2/m. The value obtained for the formation energy from raw total energies is -0.74 eV/atom.


DFT (PBE) results for BaTb2Se4 after structural relaxation.

Cell lengths 4.233, 12.886, 15.277 Å; angles 90.00, 90.00, 90.00 degrees
Positions (direct):
Se 0.250 0.024 0.283
Se 0.250 0.126 0.525
Tb 0.750 0.565 0.609
Se 0.250 0.415 0.577
Tb 0.750 0.079 0.400
Se 0.250 0.206 0.836
Tb 0.250 0.935 0.109
Tb 0.250 0.421 0.900
Se 0.250 0.626 0.975
Se 0.750 0.794 0.164
Se 0.750 0.294 0.336
Se 0.750 0.085 0.077
Se 0.750 0.585 0.423
Tb 0.250 0.435 0.391
Se 0.750 0.976 0.717
Ba 0.250 0.759 0.335
Se 0.250 0.524 0.217
Se 0.750 0.374 0.025
Se 0.250 0.915 0.923
Se 0.750 0.476 0.783
Tb 0.750 0.579 0.100
Tb 0.250 0.921 0.600
Ba 0.750 0.241 0.665
Ba 0.250 0.259 0.165
Se 0.750 0.874 0.475
Tb 0.750 0.065 0.891
Se 0.250 0.706 0.664
Ba 0.750 0.741 0.835

## Properties
As for the space group: Pnma. The excess energy over the best structure of this formula in the dataset is 0.0 kJ/mol of atoms. The value obtained for the formation energy from raw total energies is -1.98 eV/atom.


DFT (PBE) results for SmZnGa2Au5 after structural relaxation.

Cell lengths 4.926, 4.926, 7.650 Å; angles 90.00, 90.00, 90.00 degrees
Positions (direct):
Au 0.000 0.500 0.745
Ga 0.500 0.500 0.842
Ga 0.500 0.500 0.158
Au 0.500 0.000 0.745
Zn 0.000 0.000 0.000
Au 0.500 0.000 0.255
Sm 0.000 0.000 0.500
Au 0.000 0.500 0.255
Au 0.500 0.500 0.500

## Properties
The density of states at the Fermi level is 3.71 states/eV/f.u. As for the space group: P4/mmm. For the formation energy, the calculation gives -0.2610 eV/atom.


DFT (PBE) results for Ac5Pm2Pr after structural relaxation.

Cell lengths 5.520, 7.709, 15.414 Å; angles 90.00, 90.00, 90.00 degrees
Positions (direct):
Pm 0.500 0.254 0.624
Ac 0.500 0.244 0.378
Ac 0.000 0.500 0.500
Pr 0.000 0.500 0.000
Pm 0.500 0.246 0.124
Ac 0.500 0.744 0.122
Ac 0.000 0.007 0.747
Pm 0.500 0.746 0.376
Ac 0.000 0.993 0.253
Ac 0.000 0.000 0.000
Ac 0.000 0.493 0.247
Pm 0.500 0.754 0.876
Ac 0.500 0.756 0.622
Ac 0.500 0.256 0.878
Pr 0.000 0.000 0.500
Ac 0.000 0.507 0.753

## Properties
The density of states at the Fermi level is 13.45 states/eV/f.u. As for the space group: Pbam. For the formation energy, the calculation gives 0.0281 eV/atom.


DFT (PBE) results for ThMgCdIn after structural relaxation.

Cell lengths 5.265, 5.265, 5.265 Å; angles 60.00, 60.00, 60.00 degrees
Positions (direct):
In 0.250 0.250 0.250
Mg 0.000 0.000 0.000
Th 0.500 0.500 0.500
Cd 0.750 0.750 0.750

## Properties
The density of states at the Fermi level is 3.94 states/eV/f.u. As for the space group: F-43m. The excess energy over the best structure of this formula in the dataset is 5.5 kJ/mol of atoms. For the formation energy, the calculation gives -0.1312 eV/atom.


DFT (PBE) results for P3W after structural relaxation.

Cell lengths 4.340, 4.581, 5.744 Å; angles 90.00, 90.00, 90.00 degrees
Positions (direct):
P 0.000 0.612 0.500
P 0.000 0.194 0.255
W 0.000 0.712 0.000
P 0.000 0.194 0.745
W 0.500 0.288 0.500
P 0.500 0.806 0.755
P 0.500 0.806 0.245
P 0.500 0.388 0.000

## Properties
The density of states at the Fermi level is 2.23 states/eV/f.u. As for the space group: Pmmn. The excess energy over the best structure of this formula in the dataset is 47.1 kJ/mol of atoms. For the formation energy, the calculation gives 0.3374 eV/atom.


DFT (PBE) results for CoW2Cl after structural relaxation.

Cell lengths 4.864, 4.864, 2.751 Å; angles 90.00, 90.00, 114.56 degrees
Each line ends with the local moment (μB).
Positions (direct):
Co 0.000 0.500 0.500  0.79
W 0.000 0.000 0.000  0.00
W 0.500 0.500 0.000  0.00
Cl 0.500 0.000 0.500  0.02

## Properties
The density of states at the Fermi level is 3.52 states/eV/f.u. As for the space group: Cmmm. The excess energy over the best structure of this formula in the dataset is 66.6 kJ/mol of atoms. The value obtained for the formation energy from raw total energies is 1.07 eV/atom.


DFT (PBE) results for SrEuC4 after structural relaxation.

Cell lengths 4.402, 4.402, 5.727 Å; angles 90.00, 90.00, 80.95 degrees
Each line ends with the local moment (μB).
Positions (direct):
C 0.595 0.595 0.000  0.01
Sr 0.500 0.500 0.500  -0.01
C 0.906 0.906 0.500  0.00
C 0.094 0.094 0.500  0.00
Eu 0.000 0.000 0.000  -6.72
C 0.405 0.405 0.000  0.01

## Properties
The density of states at the Fermi level is 13.44 states/eV/f.u. As for the space group: Cmmm. For the formation energy, the calculation gives 0.0255 eV/atom.


DFT (PBE) results for HoZrCo4 after structural relaxation.

Cell lengths 4.969, 4.969, 4.969 Å; angles 60.00, 60.00, 60.00 degrees
Each line ends with the local moment (μB).
Positions (direct):
Co 0.625 0.625 0.625  0.90
Zr 0.000 0.000 0.000  -0.30
Ho 0.250 0.250 0.250  -0.28
Co 0.625 0.625 0.125  0.90
Co 0.125 0.625 0.625  0.90
Co 0.625 0.125 0.625  0.90

## Properties
The density of states at the Fermi level is 7.43 states/eV/f.u. As for the space group: F-43m. For the formation energy, the calculation gives -0.2441 eV/atom.


DFT (PBE) results for V12Ge3Pt after structural relaxation.

Cell lengths 4.771, 4.762, 9.563 Å; angles 90.00, 90.00, 90.00 degrees
Positions (direct):
V 0.500 0.000 0.379
V 0.750 0.500 0.500
V 0.500 0.000 0.870
Pt 0.000 0.000 0.500
V 0.000 0.749 0.248
V 0.000 0.251 0.752
V 0.000 0.749 0.752
V 0.500 0.000 0.621
Ge 0.000 0.000 0.000
V 0.747 0.500 0.000
Ge 0.500 0.500 0.752
V 0.000 0.251 0.248
V 0.253 0.500 0.000
V 0.500 0.000 0.130
Ge 0.500 0.500 0.248
V 0.250 0.500 0.500

## Properties
The density of states at the Fermi level is 19.51 states/eV/f.u. As for the space group: Pmmm. For the formation energy, the calculation gives -0.3642 eV/atom.